A.
! GGA-PBE CrSI2, optimized geometry; values from VASP
! - crystal system = cubic
! - magnetization (Bohr magnetons per cell) = 2.08
! - symmetry = Fm-3m, No. 225
&SYSTEM
  ibrav = 0, nat = 4, ntyp = 3
/
ATOMIC_SPECIES
Cr 52.00 Cr.upf
S 32.06 S.upf
I 126.90 I.upf
ATOMIC_POSITIONS angstrom
Cr 0.000 0.000 0.000
S 3.675 3.675 3.675
I 1.837 1.837 1.837
I 5.512 5.512 5.512
CELL_PARAMETERS angstrom
0.000 3.675 3.675
3.675 0.000 3.675
3.675 3.675 0.000

---

B.
! GGA-PBE CrSI2, optimized geometry; values from VASP
! - crystal system = tetragonal
! - magnetization (Bohr magnetons per cell) = 4.00
! - symmetry = I-42d, No. 122
&SYSTEM
  ibrav = 0, nat = 8, ntyp = 3
/
ATOMIC_SPECIES
Cr 52.00 Cr.upf
S 32.06 S.upf
I 126.90 I.upf
ATOMIC_POSITIONS angstrom
Cr 0.000 0.000 0.000
Cr 0.000 3.938 1.997
S 3.938 0.000 1.997
S 0.000 0.000 3.994
I 1.969 1.542 -0.998
I 2.396 -1.969 4.992
I 1.969 2.396 2.995
I 1.542 5.907 0.998
CELL_PARAMETERS angstrom
-3.938 3.938 3.994
3.938 -3.938 3.994
3.938 3.938 -3.994

---

Most stable structure: B

---

A.
! GGA-PBE CrTeSI2, optimized geometry; values from VASP
! - crystal system = tetragonal
! - magnetization (Bohr magnetons per cell) = 0.00
! - symmetry = P4/mmm, No. 123
&SYSTEM
  ibrav = 0, nat = 5, ntyp = 4
/
ATOMIC_SPECIES
Cr 52.00 Cr.upf
Te 127.60 Te.upf
S 32.06 S.upf
I 126.90 I.upf
ATOMIC_POSITIONS angstrom
Cr 0.000 0.000 0.000
Te 0.000 0.000 2.559
S 2.592 2.592 2.559
I 0.000 2.592 0.000
I 2.592 0.000 0.000
CELL_PARAMETERS angstrom
5.185 0.000 0.000
0.000 5.185 0.000
0.000 0.000 5.119

---

B.
! GGA-PBE CrTeSI2, optimized geometry; values from VASP
! - crystal system = tetragonal
! - magnetization (Bohr magnetons per cell) = 3.97
! - symmetry = P4/mmm, No. 123
&SYSTEM
  ibrav = 0, nat = 5, ntyp = 4
/
ATOMIC_SPECIES
Cr 52.00 Cr.upf
Te 127.60 Te.upf
S 32.06 S.upf
I 126.90 I.upf
ATOMIC_POSITIONS angstrom
Cr 0.000 0.000 0.000
Te 2.743 2.743 0.000
S 2.743 2.743 2.704
I 0.000 2.743 2.704
I 2.743 0.000 2.704
CELL_PARAMETERS angstrom
5.486 0.000 0.000
0.000 5.486 0.000
0.000 0.000 5.409

---

Most stable structure: A

---

A.
! GGA-PBE CrSb2I, optimized geometry; values from VASP
! - crystal system = cubic
! - magnetization (Bohr magnetons per cell) = 0.00
! - symmetry = Fm-3m, No. 225
&SYSTEM
  ibrav = 0, nat = 4, ntyp = 3
/
ATOMIC_SPECIES
Cr 52.00 Cr.upf
Sb 121.76 Sb.upf
I 126.90 I.upf
ATOMIC_POSITIONS angstrom
Cr 0.000 0.000 0.000
Sb 1.810 1.810 1.810
Sb 5.430 5.430 5.430
I 3.620 3.620 3.620
CELL_PARAMETERS angstrom
0.000 3.620 3.620
3.620 0.000 3.620
3.620 3.620 0.000

---

B.
! GGA-PBE CrSb2I, optimized geometry; values from VASP
! - crystal system = tetragonal
! - magnetization (Bohr magnetons per cell) = 4.48
! - symmetry = I-42d, No. 122
&SYSTEM
  ibrav = 0, nat = 8, ntyp = 3
/
ATOMIC_SPECIES
Cr 52.00 Cr.upf
Sb 121.76 Sb.upf
I 126.90 I.upf
ATOMIC_POSITIONS angstrom
Cr 0.000 0.000 0.000
Cr 0.000 3.162 3.660
Sb 4.742 0.835 -1.830
Sb 0.835 1.581 1.830
Sb -1.581 2.327 5.490
Sb 2.327 1.581 9.150
I 3.162 0.000 3.660
I 0.000 0.000 7.320
CELL_PARAMETERS angstrom
-3.162 3.162 7.320
3.162 -3.162 7.320
3.162 3.162 -7.320

---

Most stable structure: B